No. 1
Entry from Alexandria via LeMat-Bulk: a relaxed Ho2O3 crystal (GGA-PBEsol).

Cell and atoms, written as POSCAR:
```
Ho2O3
1.0
-5.238 5.238 5.238
5.238 -5.238 5.238
5.238 5.238 -5.238
Ho O
16 24
direct
0.000 0.000 0.000
0.000 0.500 0.500
0.033 0.783 0.250
0.217 0.750 0.967
0.250 0.033 0.783
0.250 0.533 0.283
0.283 0.250 0.533
0.467 0.717 0.750
0.500 0.000 0.500
0.500 0.500 0.000
0.533 0.283 0.250
0.717 0.750 0.467
0.750 0.467 0.717
0.750 0.967 0.217
0.783 0.250 0.033
0.967 0.217 0.750
0.011 0.469 0.740
0.031 0.042 0.271
0.042 0.271 0.031
0.228 0.458 0.489
0.229 0.272 0.760
0.240 0.771 0.728
0.260 0.989 0.531
0.271 0.031 0.042
0.272 0.760 0.229
0.458 0.489 0.228
0.469 0.740 0.011
0.489 0.228 0.458
0.511 0.772 0.542
0.531 0.260 0.989
0.542 0.511 0.772
0.728 0.240 0.771
0.729 0.969 0.958
0.740 0.011 0.469
0.760 0.229 0.272
0.771 0.728 0.240
0.772 0.542 0.511
0.958 0.729 0.969
0.969 0.958 0.729
0.989 0.531 0.260
```

Spin magnetization in μB/cell: 0.0
Mass density in kg/m3: 8732
Uncorrected formation energy in eV per atom: -3.666

No. 2
Entry from Alexandria via LeMat-Bulk: a relaxed Ho2O3 crystal (GGA-PBEsol).

Cell and atoms, written as POSCAR:
```
Ho2O3
1.0
6.876 -1.723 0.000
6.876 1.723 0.000
-1.484 0.000 8.369
Ho O
6 9
direct
0.033 0.033 0.313
0.309 0.309 0.363
0.365 0.365 0.013
0.635 0.635 0.987
0.691 0.691 0.637
0.967 0.967 0.687
0.128 0.128 0.783
0.175 0.175 0.470
0.206 0.206 0.124
0.471 0.471 0.844
0.500 0.500 0.500
0.529 0.529 0.156
0.794 0.794 0.876
0.825 0.825 0.530
0.872 0.872 0.217
```

Spin magnetization in μB/cell: 0.0
Mass density in kg/m3: 9494
Uncorrected formation energy in eV per atom: -3.639

No. 3
Entry from Alexandria via LeMat-Bulk: a relaxed Ho2O3 crystal (GGA-PBEsol).

Cell and atoms, written as POSCAR:
```
Ho2O3
1.0
3.615 0.000 0.000
-1.808 3.131 0.000
0.000 0.000 5.734
Ho O
2 3
direct
0.333 0.667 0.251
0.667 0.333 0.749
0.000 0.000 0.500
0.333 0.667 0.854
0.667 0.333 0.146
```

Spin magnetization in μB/cell: 0.0
Mass density in kg/m3: 9666
Uncorrected formation energy in eV per atom: -3.623

Q: What is the formula in the first record?
A: Ho2O3

Q: Which of these has the highest mass density?
A: number 3

Q: Which formula does entry 1 have?
A: Ho2O3